Entry 1:
Here is Co2CuI after structural relaxation from Alexandria via LeMat-Bulk. Energies are from PBE.

Calculated values
Energy relative to the lowest polymorph listed for this composition ... 154 meV per atom
Total DFT energy (no corrections) ... -4.08 eV per atom
DOS(E_F) ... 31.00 states/eV per cell

abc: 3.833 3.833 16.858
angles: 90.00 90.00 90.00
Space group I-42d (No. 122)
Asymmetric unit:
Co1 0.216 0.250 0.125 (multiplicity 8)
Cu1 0.000 0.000 0.000 (multiplicity 4)
I1 0.000 0.000 0.500 (multiplicity 4)


Entry 2:
Here is Pr7Al2Tl2 after structural relaxation from Alexandria via LeMat-Bulk. Energies are from PBE.

Calculated values
Formation energy from the elements ... -0.019 eV/atom
Total DFT energy (no corrections) ... -4.17 eV per atom
DOS(E_F) ... 32.93 states/eV per cell

abc: 7.905 11.312 8.221
angles: 90.00 90.00 90.00
Space group Cmmm (No. 65)
Asymmetric unit:
Pr1 0.000 0.000 0.000 (multiplicity 2)
Pr2 0.000 0.500 0.278 (multiplicity 4)
Pr3 0.250 0.250 0.299 (multiplicity 8)
Al1 0.164 0.000 0.500 (multiplicity 4)
Tl1 0.000 0.295 0.000 (multiplicity 4)


Entry 3:
Here is MgSn2B after structural relaxation from Alexandria via LeMat-Bulk. Energies are from PBE.

Calculated values
Formation energy from the elements ... 0.483 eV/atom
Energy relative to the lowest polymorph listed for this composition ... 0 meV per atom
Total DFT energy (no corrections) ... -3.59 eV per atom
DOS(E_F) ... 6.53 states/eV per cell

abc: 6.357 6.357 10.012
angles: 90.00 90.00 90.00
Space group I-42d (No. 122)
Asymmetric unit:
Mg1 0.000 0.000 0.000 (multiplicity 4)
Sn1 0.164 0.250 0.625 (multiplicity 8)
B1 0.000 0.000 0.500 (multiplicity 4)


Entry 4:
Here is U3AsP after structural relaxation from Alexandria via LeMat-Bulk. Energies are from PBE.

Calculated values
Formation energy from the elements ... -0.554 eV/atom
Total DFT energy (no corrections) ... -9.34 eV per atom
DOS(E_F) ... 88.69 states/eV per cell

abc: 10.442 13.216 6.066
angles: 90.00 95.81 90.00
Space group C2/c (No. 15)
Asymmetric unit:
U1 0.147 0.156 0.073 (multiplicity 8)
U2 0.172 0.295 0.617 (multiplicity 8)
U3 0.177 0.435 0.109 (multiplicity 8)
As1 0.122 0.077 0.527 (multiplicity 8)
P1 0.000 0.301 0.250 (multiplicity 4)
P2 0.000 0.432 0.750 (multiplicity 4)


Which of these has the highest total DFT energy (no corrections)? MgSn2B